(1)
## Hf12Co6Sn (GGA-PBE)

Data for Hf12Co6Sn after structural relaxation.

Cell lengths 7.7298, 7.7298, 7.7298 Å; angles 109.47, 109.47, 109.47 degrees
Sites, in units of the cell vectors:
Hf 0.1136 0.2999 0.8137
Hf 0.1863 0.4861 0.2999
Hf 0.1863 0.8864 0.7001
Hf 0.2999 0.1863 0.4861
Hf 0.2999 0.8137 0.1136
Hf 0.4861 0.2999 0.1863
Hf 0.5139 0.7001 0.8137
Hf 0.7001 0.1863 0.8864
Hf 0.7001 0.8137 0.5139
Hf 0.8137 0.1136 0.2999
Hf 0.8137 0.5139 0.7001
Hf 0.8864 0.7001 0.1863
Co 0.1360 0.5000 0.6360
Co 0.3640 0.8640 0.5000
Co 0.5000 0.3640 0.8640
Co 0.5000 0.6360 0.1360
Co 0.6360 0.1360 0.5000
Co 0.8640 0.5000 0.3640
Sn 0.0000 0.0000 0.0000

## Properties
* space group: Im-3
* total energy: -9.0134 eV/atom

(2)
## Hf5CoSn2 (GGA-PBE)

Data for Hf5CoSn2 after structural relaxation.

Cell lengths 7.2045, 7.2045, 11.9670 Å; angles 90.00, 90.00, 139.81 degrees
Sites, in units of the cell vectors:
Hf 0.1028 0.8972 0.6106
Hf 0.1028 0.8972 0.8894
Hf 0.3098 0.6902 0.5169
Hf 0.3098 0.6902 0.9831
Hf 0.3123 0.6877 0.2500
Hf 0.6877 0.3123 0.7500
Hf 0.6902 0.3098 0.0169
Hf 0.6902 0.3098 0.4831
Hf 0.8972 0.1028 0.1106
Hf 0.8972 0.1028 0.3894
Co 0.2427 0.7573 0.7500
Co 0.7573 0.2427 0.2500
Sn 0.1149 0.8851 0.1306
Sn 0.1149 0.8851 0.3694
Sn 0.8851 0.1149 0.6306
Sn 0.8851 0.1149 0.8694

## Properties
* space group: Cmcm
* total energy: -7.8887 eV/atom

(3)
## Hf3CoSn (GGA-PBE)

Data for Hf3CoSn after structural relaxation.

Cell lengths 4.7831, 4.7831, 4.7831 Å; angles 90.00, 90.00, 90.00 degrees
Sites, in units of the cell vectors:
Hf 0.0000 0.0000 0.5000
Hf 0.0000 0.5000 0.0000
Hf 0.5000 0.0000 0.0000
Co 0.0000 0.0000 0.0000
Sn 0.5000 0.5000 0.5000

## Properties
* space group: Pm-3m
* ΔE to the lowest computed polymorph: 0.2371 eV/atom

(4)
## Hf5CoSn3 (GGA-PBE)

Data for Hf5CoSn3 after structural relaxation.

Cell lengths 8.6095, 8.6095, 5.7595 Å; angles 90.00, 90.00, 120.00 degrees
Sites, in units of the cell vectors:
Hf 0.0000 0.2465 0.2500
Hf 0.0000 0.7535 0.7500
Hf 0.2465 0.0000 0.2500
Hf 0.2465 0.2465 0.7500
Hf 0.3333 0.6667 0.0000
Hf 0.3333 0.6667 0.5000
Hf 0.6667 0.3333 0.0000
Hf 0.6667 0.3333 0.5000
Hf 0.7535 0.0000 0.7500
Hf 0.7535 0.7535 0.2500
Co 0.0000 0.0000 0.0000
Co 0.0000 0.0000 0.5000
Sn 0.0000 0.3977 0.7500
Sn 0.0000 0.6023 0.2500
Sn 0.3977 0.0000 0.7500
Sn 0.3977 0.3977 0.2500
Sn 0.6023 0.0000 0.2500
Sn 0.6023 0.6023 0.7500

## Properties
* space group: P6_3/mcm
* total energy: -8.0570 eV/atom

(5)
## Hf2Co2Sn (GGA-PBE)

Data for Hf2Co2Sn after structural relaxation.

Cell lengths 4.3452, 4.3452, 9.7539 Å; angles 90.00, 90.00, 90.00 degrees
Sites, in units of the cell vectors:
Hf 0.0000 0.5000 0.2500
Hf 0.0000 0.5000 0.7500
Hf 0.5000 0.0000 0.2500
Hf 0.5000 0.0000 0.7500
Co 0.0000 0.0000 0.1118
Co 0.0000 0.0000 0.8882
Co 0.5000 0.5000 0.3882
Co 0.5000 0.5000 0.6118
Sn 0.0000 0.0000 0.5000
Sn 0.5000 0.5000 0.0000

## Properties
* space group: I4/mmm
* total energy: -7.7705 eV/atom

(6)
## Hf3CoSn (GGA-PBE)

Data for Hf3CoSn after structural relaxation.

Cell lengths 7.4738, 3.8935, 7.6791 Å; angles 90.00, 115.43, 90.00 degrees
Sites, in units of the cell vectors:
Hf 0.0330 0.2500 0.2144
Hf 0.3269 0.7500 0.5869
Hf 0.3276 0.2500 0.9076
Hf 0.6724 0.7500 0.0924
Hf 0.6731 0.2500 0.4131
Hf 0.9670 0.7500 0.7856
Co 0.0679 0.2500 0.5831
Co 0.9321 0.7500 0.4168
Sn 0.3270 0.7500 0.1981
Sn 0.6730 0.2500 0.8019

## Properties
* space group: P2_1/m
* ΔE to the lowest computed polymorph: 0.0000 eV/atom

(7)
## Hf12CoSn6 (GGA-PBE)

Data for Hf12CoSn6 after structural relaxation.

Cell lengths 7.8580, 7.8580, 7.8580 Å; angles 100.50, 100.50, 100.50 degrees
Sites, in units of the cell vectors:
Hf 0.0135 0.3138 0.0588
Hf 0.0588 0.0135 0.3138
Hf 0.2148 0.4022 0.5180
Hf 0.3138 0.0588 0.0135
Hf 0.4022 0.5180 0.2148
Hf 0.4820 0.7852 0.5978
Hf 0.5180 0.2148 0.4022
Hf 0.5978 0.4820 0.7852
Hf 0.6862 0.9412 0.9865
Hf 0.7852 0.5978 0.4820
Hf 0.9412 0.9865 0.6862
Hf 0.9865 0.6862 0.9412
Co 0.0000 0.0000 0.0000
Sn 0.1072 0.6639 0.3305
Sn 0.3305 0.1072 0.6639
Sn 0.3361 0.6695 0.8928
Sn 0.6639 0.3305 0.1072
Sn 0.6695 0.8928 0.3361
Sn 0.8928 0.3361 0.6695

## Properties
* space group: R-3
* total energy: -7.9038 eV/atom

(8)
## HfCo2Sn2 (GGA-PBE)

Data for HfCo2Sn2 after structural relaxation.

Cell lengths 4.3507, 4.3786, 9.3100 Å; angles 90.00, 90.00, 90.00 degrees
Sites, in units of the cell vectors:
Hf 0.2500 0.2500 0.1695
Hf 0.7500 0.7500 0.8305
Co 0.2500 0.7500 0.3265
Co 0.2500 0.7500 0.9992
Co 0.7500 0.2500 0.0008
Co 0.7500 0.2500 0.6735
Sn 0.2500 0.2500 0.4945
Sn 0.2500 0.2500 0.8290
Sn 0.7500 0.7500 0.1710
Sn 0.7500 0.7500 0.5055

## Properties
* space group: Pmmn
* ΔE to the lowest computed polymorph: 0.0000 eV/atom

Magnetic moment (computed, μB/cell): 0.00, 1.73, 0.00, 0.00, 0.00, 0.00, 0.00, 1.13